8
Lattice="7.246 0.000 0.000 0.000 7.246 0.000 3.623 3.623 4.009" Properties=species:S:1:pos:R:3 comment="Ca2WF, relaxed, DFT PBE with a Hubbard U" e_tot_ev_per_cell=-31.616 spacegroup="No. 122" pbc="T T T"
Ca 4.663 1.811 1.002
Ca 5.434 6.206 3.007
Ca 2.583 5.434 1.002
Ca 9.057 8.285 3.007
W 7.246 3.623 2.005
W 0.000 0.000 0.000
F 3.623 7.246 2.005
F 3.623 3.623 0.000